Density functional theory data (PBEsol) for a relaxed AlIrSe2 crystal.

Properties
- crystal system = tetragonal
- E (eV per formula unit) = -22.06
- formation energy without anion corrections (meV per atom) = -110
- spin magnetization (μB/cell) = 0.00

Cell: 3.688 3.688 5.128 Å, 90.00 90.00 90.00°
Element x y z (fractional)
Al1 0.000 0.000 0.000
Ir1 0.500 0.500 0.500
Se1 0.000 0.000 0.500
Se2 0.500 0.500 0.000

Density functional theory data (PBEsol) for a relaxed TaReTc2 crystal.

Properties
- crystal system = tetragonal
- E (eV per formula unit) = -48.64
- spin magnetization (μB/cell) = 0.00
- ΔH_f (0 K) (eV/atom) = -0.0556
- energy above the most stable polymorph in this dataset (eV per atom) = 0.000

Cell: 3.091 3.091 6.286 Å, 90.00 90.00 90.00°
Element x y z (fractional)
Ta1 0.000 0.000 0.000
Re1 0.000 0.000 0.500
Tc1 0.500 0.500 0.248
Tc2 0.500 0.500 0.752